A plane-wave DFT calculation with PBE was carried out for a relaxed Sr2MgGa3Au4 crystal.

Cell lengths 4.5157, 4.5157, 11.0720 Å; angles 90.00, 90.00, 90.00 degrees
With the nearest neighbours (Å) after each atom.
Space group P-4m2 (No. 115)
Inequivalent atoms, fractional coordinates:
Sr1 0.0000 0.5000 0.2397  6 Ga 3.43-3.66, 8 Au 3.46-3.48, 2 Mg 3.66
Mg1 0.0000 0.0000 0.5000  4 Au 2.73
Ga1 0.0000 0.5000 0.8745  5 Au 2.61-2.65
Ga2 0.5000 0.5000 0.5000  4 Au 2.73
Au1 0.0000 0.0000 0.0000  4 Ga 2.65
Au2 0.0000 0.5000 0.6390  3 Ga 2.61-2.73, 2 Mg 2.73
Au3 0.5000 0.5000 0.0000  4 Ga 2.65

Output
energy	-33.29	eV for the cell shown
formation enthalpy at 0 K	-0.61	eV/atom
mass density	8.8	g/cm3
DOS at the Fermi energy	5.5	states/eV/f.u.

---

A plane-wave DFT calculation with PBE was carried out for a relaxed CaCuPt crystal.

Cell lengths 5.1561, 5.6041, 7.4865 Å; angles 90.00, 90.00, 90.00 degrees
With the nearest neighbours (Å) after each atom.
Space group Imma (No. 74)
Inequivalent atoms, fractional coordinates:
Ca1 0.0000 0.2500 0.1248  6 Pt 3.08-3.14, 6 Cu 3.09-3.22, 4 Ca 3.19-3.37
Cu1 0.2500 0.2500 0.7500  2 Cu 2.58, 4 Pt 2.67
Pt1 0.0000 0.0000 0.5000  4 Cu 2.67, 2 Pt 2.80

Output
energy	-56.59	eV for the cell shown
formation enthalpy at 0 K	-0.67	eV/atom
mass density	9.2	g/cm3
DOS at the Fermi energy	0.8	states/eV/f.u.

---

The lowest energy belongs to which entry?
CaCuPt